# 1
4
Lattice="0.0000 3.1061 3.1061 3.1061 0.0000 3.1061 3.1061 3.1061 0.0000" Properties=species:S:1:pos:R:3 comment="PBE-GGA Al2ReAu, optimized geometry" total_magnetization_mub_per_fu=0.00 de_polymorph_ev_per_fu=0.59 spacegroup="Fm-3m, No. 225" energy_ev_per_atom=-5.910 ef_ev_per_atom=-0.11 pbc="T T T"
Al 4.6591 4.6591 4.6591
Al 1.5530 1.5530 1.5530
Au 3.1061 3.1061 3.1061
Re 0.0000 0.0000 0.0000


# 2
4
Lattice="4.6149 0.0122 0.0000 -0.8259 4.5404 0.0000 0.0000 0.0000 2.9033" Properties=species:S:1:pos:R:3 comment="PBE-GGA Al2ReAu, optimized geometry" total_magnetization_mub_per_fu=0.00 de_polymorph_ev_per_fu=0.21 spacegroup="Cmmm, No. 65" energy_ev_per_atom=-6.008 ef_ev_per_atom=-0.21 pbc="T T T"
Al 1.8945 2.2763 0.0000
Al 0.0000 0.0000 0.0000
Re -0.4130 2.2702 1.4516
Au 2.3074 0.0061 1.4516


# 3
4
Lattice="-2.4256 0.1293 1.4863 -1.4918 -0.2493 -2.4128 0.0573 -7.9020 0.7809" Properties=species:S:1:pos:R:3 comment="PBE-GGA AlReAu2, optimized geometry" total_magnetization_mub_per_fu=0.31 spacegroup="P4/mmm, No. 123" energy_ev_per_atom=-5.449 ef_ev_per_atom=0.24 pbc="T T T"
Au 0.0566 -7.7950 0.7704
Au 0.0294 -4.0579 0.4010
Re -1.9443 -2.0355 -0.2680
Al -1.9157 -5.9865 0.1224